Material: In2Ga2Ag5
Method: DFT, PBE
State: relaxed

Cell lengths 9.561, 9.561, 9.561 Å; angles 59.59, 134.03, 144.21 degrees
Fractional coordinates of all 18 atoms:
In 0.000 0.000 0.000
In 0.000 0.500 0.500
In 0.047 0.248 0.299
In 0.950 0.748 0.701
Ga 0.458 0.573 0.030
Ga 0.458 0.927 0.385
Ga 0.543 0.073 0.615
Ga 0.543 0.427 0.970
Ag 0.000 0.130 0.632
Ag 0.000 0.868 0.369
Ag 0.453 0.249 0.704
Ag 0.497 0.084 0.085
Ag 0.497 0.912 0.913
Ag 0.498 0.368 0.368
Ag 0.498 0.630 0.631
Ag 0.545 0.749 0.296
Ag 0.999 0.412 0.915
Ag 0.999 0.584 0.087

magnetic moment = 0.00 μB per formula unit
space group = Ima2 (46)
formation enthalpy at 0 K = 0.03 eV/atom